No. 1
Density functional theory data (PBE) for crystalline Ac4Te3S2 at its relaxed geometry.

```
18
Lattice="7.188 -5.726 0.000 7.188 5.726 0.000 -0.593 0.000 8.068" Properties=species:S:1:pos:R:3 pbc="T T T"
Ac 5.112 3.765 7.909
Ac 4.776 0.944 4.514
Ac 8.374 3.765 4.193
Ac 5.073 -0.944 0.480
Ac 8.710 0.944 7.588
Ac 5.409 -3.765 3.875
Ac 9.006 -0.944 3.554
Ac 8.671 -3.765 0.159
Te 1.529 1.404 3.532
Te 1.233 -1.404 7.566
Te 7.040 1.424 2.017
Te 6.743 -1.424 6.051
Te 12.550 1.404 0.502
Te 12.254 -1.404 4.536
S 3.576 1.445 7.095
S 3.872 -1.445 3.061
S 9.911 1.445 5.007
S 10.207 -1.445 0.973
```

Symmetry: C2/c
Distance to the lowest polymorph of the same formula: 0.560 eV/f.u.
Uncorrected energy: -0.2008 hartree per atom

***

No. 2
Density functional theory data (PBE) for crystalline Ac4Te3S2 at its relaxed geometry.

```
9
Lattice="7.760 -2.328 0.000 7.760 2.328 0.000 -6.952 0.000 9.619" Properties=species:S:1:pos:R:3 pbc="T T T"
Ac -1.330 0.000 3.770
Ac 3.055 0.000 1.708
Ac 5.512 0.000 7.911
Ac 9.897 0.000 5.849
Te 0.013 0.000 6.969
Te 4.283 0.000 4.809
Te 8.553 0.000 2.650
S -4.041 0.000 8.390
S 12.608 0.000 1.229
```

Symmetry: C2/m
Distance to the lowest polymorph of the same formula: 0.000 eV/f.u.
Uncorrected energy: -0.2031 hartree per atom

***

No. 3
Density functional theory data (PBE) for crystalline Ac5Te5S at its relaxed geometry.

```
11
Lattice="7.380 -3.295 0.000 7.380 3.295 0.000 -2.961 0.000 8.762" Properties=species:S:1:pos:R:3 pbc="T T T"
Ac 0.000 0.000 0.000
Ac 4.602 0.000 1.397
Ac 3.055 0.000 5.970
Ac 8.745 0.000 2.792
Ac 7.197 0.000 7.365
Te -0.031 0.000 7.219
Te 1.548 0.000 2.943
Te 5.900 0.000 4.381
Te 10.251 0.000 5.819
Te 11.830 0.000 1.543
S 7.380 0.000 0.000
```

Symmetry: C2/m
Uncorrected energy: -0.1934 hartree per atom

***

No. 4
Density functional theory data (PBE) for crystalline AcTeS6 at its relaxed geometry.

```
8
Lattice="4.140 0.000 0.000 0.054 8.217 0.000 2.024 3.777 7.067" Properties=species:S:1:pos:R:3 pbc="T T T"
Ac 0.000 0.000 0.000
Te 2.097 4.108 0.000
S 2.058 3.097 2.457
S 2.111 9.346 2.266
S 2.122 6.393 1.158
S 4.096 5.600 5.909
S 4.107 2.648 4.801
S 4.160 8.897 4.610
```

Symmetry: P-1
Uncorrected energy: -0.1638 hartree per atom

***

No. 5
Density functional theory data (PBE) for crystalline Ac3Te2S at its relaxed geometry.

```
12
Lattice="6.503 0.000 0.000 0.000 6.502 0.000 -3.235 0.000 9.824" Properties=species:S:1:pos:R:3 pbc="T T T"
Ac 0.000 0.000 0.000
Ac 0.004 3.251 2.932
Ac 0.012 0.000 6.891
Ac 3.251 3.251 0.000
Ac 3.256 0.000 2.932
Ac 3.264 3.251 6.891
Te 0.004 0.000 3.408
Te 0.013 3.251 6.416
Te 3.256 3.251 3.408
Te 3.264 0.000 6.416
S 0.000 3.251 0.000
S 3.251 0.000 0.000
```

Symmetry: C2/m
Uncorrected energy: -0.1984 hartree per atom

***

No. 6
Density functional theory data (PBE) for crystalline AcTeS2 at its relaxed geometry.

```
12
Lattice="4.549 0.000 0.000 -2.275 3.940 0.000 0.000 0.000 24.479" Properties=species:S:1:pos:R:3 pbc="T T T"
Ac 0.000 0.000 0.000
Ac 0.000 2.627 16.319
Ac 2.275 1.313 8.160
Te 0.000 0.000 12.240
Te 0.000 2.627 4.080
Te 2.275 1.313 20.399
S 0.000 0.000 9.581
S 0.000 0.000 14.898
S 0.000 2.627 1.421
S 0.000 2.627 6.739
S 2.275 1.313 17.740
S 2.275 1.313 23.058
```

Symmetry: R-3m
Uncorrected energy: -0.1829 hartree per atom

***

No. 7
Density functional theory data (PBE) for crystalline Ac3TeS6 at its relaxed geometry.

```
20
Lattice="5.764 -7.176 0.000 5.764 7.176 0.000 0.000 0.000 7.121" Properties=species:S:1:pos:R:3 pbc="T T T"
Ac 5.764 5.754 3.561
Ac 3.557 1.532 2.947
Ac 3.557 -1.532 6.507
Ac 7.970 1.532 2.947
Ac 7.970 -1.532 6.507
Ac 5.764 -5.754 0.000
Te 5.764 2.199 6.599
Te 5.764 -2.199 3.039
S 4.012 3.709 5.079
S 1.871 0.342 5.030
S 1.871 -0.342 1.469
S 5.764 3.315 1.712
S 7.515 3.709 5.079
S 5.764 0.114 4.688
S 5.764 -0.114 1.127
S 4.012 -3.709 1.518
S 5.764 -3.315 5.272
S 9.656 0.342 5.030
S 9.656 -0.342 1.469
S 7.515 -3.709 1.518
```

Symmetry: Cmc2_1
Uncorrected energy: -0.2049 hartree per atom

***

No. 8
Density functional theory data (PBE) for crystalline Ac3TeS2 at its relaxed geometry.

```
12
Lattice="2.317 -7.442 0.000 2.317 7.442 0.000 0.000 0.000 11.433" Properties=species:S:1:pos:R:3 pbc="T T T"
Ac 2.317 6.129 8.575
Ac 2.317 2.089 6.322
Ac 2.317 2.089 10.828
Ac 2.317 -2.089 0.605
Ac 2.317 -2.089 5.111
Ac 2.317 -6.129 2.858
Te 2.317 3.805 2.858
Te 2.317 -3.805 8.575
S 0.000 0.000 0.000
S 0.000 0.000 5.716
S 2.317 0.327 8.575
S 2.317 -0.327 2.858
```

Symmetry: Cmcm
Uncorrected energy: -0.2039 hartree per atom

***

- Number 3 is which compound?
  Ac5Te5S

***

- uncorrected energy of number 2 (Ac4Te3S2)?
  -0.2031 hartree per atom

***

- uncorrected energy of number 2 (Ac4Te3S2)?
  -0.2031 hartree per atom

***

- Among the records above, which one has the highest uncorrected energy?
  AcTeS6